## 1
# ZrNbP

A relaxed ZrNbP crystal (PBE, OQMD).

Calculated values
**Space group**: P6_3/mmc (194)
**Size of the total moment**: 0.03 μB per formula unit
**Crystal system**: hexagonal

The structure in extended XYZ format:
```
6
Lattice="4.5847 0.0000 0.0000 -2.2923 3.9705 0.0000 0.0000 0.0000 5.5881" Properties=species:S:1:pos:R:3 pbc="T T T"
Nb 0.0000 2.6470 1.3970
Nb 2.2924 1.3235 4.1911
Zr 0.0000 0.0000 2.7941
P 0.0000 2.6470 4.1911
P 2.2924 1.3235 1.3970
Zr 0.0000 0.0000 0.0000
```

## 2
# ZrNbP

A relaxed ZrNbP crystal (PBE, OQMD).

Calculated values
**Space group**: Pnma (62)
**Size of the total moment**: 0.00 μB per formula unit
**Crystal system**: orthorhombic

The structure in extended XYZ format:
```
12
Lattice="-0.6430 -6.3520 -2.6660 2.3260 -1.2495 2.4160 -6.2847 -1.5639 5.2419" Properties=species:S:1:pos:R:3 pbc="T T T"
P -3.9448 -6.1487 1.9434
Nb -1.5766 -7.0970 1.8237
Zr -0.4995 -0.7961 1.3945
Nb 1.1371 -3.3257 1.1615
Zr -2.7557 -4.9382 4.0754
Nb -5.7388 -5.8397 3.8304
P 0.3743 -5.8561 0.5872
Zr -4.1022 -8.3693 3.5973
Zr -1.8460 -4.2272 0.9164
P -0.6569 -3.0167 3.0485
P -4.9760 -3.3093 4.4046
Nb -3.0251 -2.0684 3.1681
```

## 3
# ZrNbP

A relaxed ZrNbP crystal (PBE, OQMD).

Calculated values
**Space group**: P-62m (189)
**Size of the total moment**: 0.02 μB per formula unit
**Crystal system**: hexagonal

The structure in extended XYZ format:
```
9
Lattice="7.0757 0.0000 0.0000 -3.5378 6.1277 0.0000 0.0000 0.0000 3.5620" Properties=species:S:1:pos:R:3 pbc="T T T"
P 0.0000 4.0851 0.0000
P 0.0000 0.0000 1.7810
Zr 4.1894 0.0000 1.7810
Nb 1.7934 0.0000 0.0000
Zr -2.0947 3.6281 1.7810
Zr 1.4431 2.4996 1.7810
P 3.5378 2.0426 0.0000
Nb 2.6412 4.5746 0.0000
Nb -0.8967 1.5531 0.0000
```

## 4
# ZrNbP

A relaxed ZrNbP crystal (PBE, OQMD).

Calculated values
**Space group**: P6_3/mmc (194)
**Size of the total moment**: 0.01 μB per formula unit
**Crystal system**: hexagonal

The structure in extended XYZ format:
```
6
Lattice="4.6634 0.0000 0.0000 -2.3317 4.0386 0.0000 0.0000 0.0000 5.4556" Properties=species:S:1:pos:R:3 pbc="T T T"
P 0.0000 2.6924 1.3639
Zr 2.3317 1.3462 1.3639
Nb 0.0000 0.0000 0.0000
Zr 0.0000 2.6924 4.0917
Nb 0.0000 0.0000 2.7278
P 2.3317 1.3462 4.0917
```

The relative energies come out as 1 627; 2 0; 3 115; 4 536, with values in meV per atom.

## 1
# ZrNbP

A relaxed ZrNbP crystal (PBE, OQMD).

Calculated values
**Space group**: P-62m (189)
**Size of the total moment**: 0.11 μB per formula unit
**Crystal system**: hexagonal

The structure in extended XYZ format:
```
9
Lattice="7.2455 0.0000 0.0000 -3.6227 6.2748 0.0000 0.0000 0.0000 3.5729" Properties=species:S:1:pos:R:3 pbc="T T T"
P 1.9556 0.0000 0.0000
P -0.9778 1.6936 0.0000
Nb 0.0000 0.0000 1.7865
Zr 1.5611 2.7040 1.7865
Zr -2.0616 3.5708 1.7865
Zr 4.1232 0.0000 1.7865
Nb 0.0000 4.1832 0.0000
P 2.6449 4.5812 0.0000
Nb 3.6227 2.0916 0.0000
```

## 2
# ZrNbP

A relaxed ZrNbP crystal (PBE, OQMD).

Calculated values
**Space group**: P6_3mc (186)
**Size of the total moment**: 0.01 μB per formula unit
**Crystal system**: hexagonal

The structure in extended XYZ format:
```
6
Lattice="-3.4830 2.3853 1.7487 1.8682 -3.4091 2.4014 3.6612 3.6428 2.3232" Properties=species:S:1:pos:R:3 pbc="T T T"
P 1.8540 0.2830 3.3067
Nb 0.1521 -1.4103 2.2267
Zr 0.9088 0.9042 0.5766
Zr 2.7394 2.7256 1.7382
Nb 0.1990 2.3426 3.1708
P 1.9009 4.0359 4.2507
```

## 3
# ZrNbP

A relaxed ZrNbP crystal (PBE, OQMD).

Calculated values
**Space group**: P-62m (189)
**Size of the total moment**: 0.04 μB per formula unit
**Crystal system**: hexagonal

The structure in extended XYZ format:
```
9
Lattice="7.1492 0.0000 0.0000 -3.5746 6.1914 0.0000 0.0000 0.0000 3.5300" Properties=species:S:1:pos:R:3 pbc="T T T"
Nb 1.4871 2.5757 1.7650
Zr -0.9347 1.6189 0.0000
Zr 2.6399 4.5725 0.0000
P 0.0000 4.1276 0.0000
Zr 1.8693 0.0000 0.0000
P 0.0000 0.0000 1.7650
Nb 4.1750 0.0000 1.7650
P 3.5746 2.0638 0.0000
Nb -2.0875 3.6156 1.7650
```

The relative energies come out as 1 399; 2 249; 3 0, with values in meV per atom.

## 1
# PaNb2Pb2

A relaxed PaNb2Pb2 crystal (PBE, OQMD).

Calculated values
**Space group**: I4/mmm (139)
**Size of the total moment**: 1.14 μB per formula unit
**Crystal system**: tetragonal

The structure in extended XYZ format:
```
5
Lattice="-2.6510 2.6510 4.3303 2.6510 -2.6510 4.3303 2.6510 2.6510 -4.3303" Properties=species:S:1:pos:R:3 pbc="T T T"
Nb 0.0000 0.0000 5.5200
Pa 0.0000 0.0000 0.0000
Pb 0.0000 2.6510 2.1651
Pb 2.6510 0.0000 2.1651
Nb 0.0000 0.0000 3.1406
```

## 2
# PaNb2Pb2

A relaxed PaNb2Pb2 crystal (PBE, OQMD).

Calculated values
**Space group**: I4/mmm (139)
**Size of the total moment**: 0.96 μB per formula unit
**Crystal system**: tetragonal

The structure in extended XYZ format:
```
5
Lattice="2.9048 -2.9048 0.0000 2.9048 2.9048 0.0000 -2.9048 0.0000 7.1573" Properties=species:S:1:pos:R:3 pbc="T T T"
Pb 2.9048 0.0000 1.5220
Pb 0.0000 0.0000 5.6353
Nb 1.4524 -1.4524 3.5787
Nb 1.4524 1.4524 3.5787
Pa 0.0000 0.0000 0.0000
```

The relative energies come out as 1 173; 2 0, with values in meV per atom.

## 1
# PaNbPt

A relaxed PaNbPt crystal (PBE, OQMD).

Calculated values
**Space group**: F-43m (216)
**Size of the total moment**: 2.15 μB per formula unit
**Crystal system**: cubic

The structure in extended XYZ format:
```
3
Lattice="1.4668 -4.0188 1.7687 -3.0689 -3.1522 1.4409 -0.5779 -3.9262 -2.3835" Properties=species:S:1:pos:R:3 pbc="T T T"
Pt 0.0000 0.0000 0.0000
Pa -1.6350 -8.3229 0.6196
Nb -0.5450 -2.7743 0.2065
```

## 2
# PaNbPt

A relaxed PaNbPt crystal (PBE, OQMD).

Calculated values
**Space group**: F-43m (216)
**Size of the total moment**: 0.56 μB per formula unit
**Crystal system**: cubic

The structure in extended XYZ format:
```
3
Lattice="0.0000 3.2482 3.2482 3.2482 0.0000 3.2482 3.2482 3.2482 0.0000" Properties=species:S:1:pos:R:3 pbc="T T T"
Nb 1.6241 1.6241 1.6241
Pt 4.8722 4.8722 4.8722
Pa 0.0000 0.0000 0.0000
```

The relative energies come out as 1 0; 2 239, with values in meV per atom.

## 1
# PaNbRe

A relaxed PaNbRe crystal (PBE, OQMD).

Calculated values
**Space group**: F-43m (216)
**Size of the total moment**: 0.00 μB per formula unit
**Crystal system**: cubic

The structure in extended XYZ format:
```
3
Lattice="0.0000 3.1691 3.1691 3.1691 0.0000 3.1691 3.1691 3.1691 0.0000" Properties=species:S:1:pos:R:3 pbc="T T T"
Pa 0.0000 0.0000 0.0000
Re 4.7537 4.7537 4.7537
Nb 1.5846 1.5846 1.5846
```

## 2
# PaNbRe

A relaxed PaNbRe crystal (PBE, OQMD).

Calculated values
**Space group**: F-43m (216)
**Size of the total moment**: 0.00 μB per formula unit
**Crystal system**: cubic

The structure in extended XYZ format:
```
3
Lattice="1.4148 -0.9490 4.1693 -2.9887 -0.5137 3.3300 -0.7378 -4.0822 1.7539" Properties=species:S:1:pos:R:3 pbc="T T T"
Re -1.7337 -4.1587 6.9399
Nb 0.0000 0.0000 0.0000
Pa -0.5779 -1.3862 2.3133
```

The relative energies come out as 1 359; 2 0, with values in meV per atom.

## 1
# ScPaNb

A relaxed ScPaNb crystal (PBE, OQMD).

Calculated values
**Space group**: F-43m (216)
**Size of the total moment**: 0.00 μB per formula unit
**Crystal system**: cubic

The structure in extended XYZ format:
```
3
Lattice="0.0000 3.3449 3.3449 3.3449 0.0000 3.3449 3.3449 3.3449 0.0000" Properties=species:S:1:pos:R:3 pbc="T T T"
Sc 5.0174 5.0174 5.0174
Nb 0.0000 0.0000 0.0000
Pa 1.6725 1.6725 1.6725
```

## 2
# ScPaNb

A relaxed ScPaNb crystal (PBE, OQMD).

Calculated values
**Space group**: F-43m (216)
**Size of the total moment**: 0.07 μB per formula unit
**Crystal system**: cubic

The structure in extended XYZ format:
```
3
Lattice="0.0000 3.3608 3.3608 3.3608 0.0000 3.3608 3.3608 3.3608 0.0000" Properties=species:S:1:pos:R:3 pbc="T T T"
Sc 5.0412 5.0412 5.0412
Pa 0.0000 0.0000 0.0000
Nb 1.6804 1.6804 1.6804
```

The relative energies come out as 1 0; 2 559, with values in meV per atom.